[1]
Th2Ge3Rh: relaxed, GGA-PBE.

abc: 5.9686 5.9686 8.4914
angles: 110.24 110.24 90.89
With the nearest neighbours (Å) after each atom.
Fractional coordinates of all 12 atoms:
Ge  0.3381  0.8301  0.1682  1 Rh 2.44, 2 Ge 2.48-2.49
Ge  0.1676  0.1676  0.3352  1 Rh 2.42, 2 Ge 2.49
Ge  0.8324  0.8324  0.6648  1 Rh 2.42, 2 Ge 2.49
Ge  0.6619  0.1699  0.8318  1 Rh 2.44, 2 Ge 2.48-2.49
Ge  0.1699  0.6619  0.8318  1 Rh 2.44, 2 Ge 2.48-2.49
Ge  0.8301  0.3381  0.1682  1 Rh 2.44, 2 Ge 2.48-2.49
Th  0.7498  0.7498  0.0000  10 Ge 3.21-3.26, 2 Rh 3.25
Th  0.2502  0.2502  0.0000  10 Ge 3.21-3.26, 2 Rh 3.25
Th  0.2500  0.7500  0.5000  4 Rh 3.22, 8 Ge 3.22
Th  0.7500  0.2500  0.5000  4 Rh 3.22, 8 Ge 3.22
Rh  0.6684  0.6684  0.3367  3 Ge 2.42-2.44
Rh  0.3316  0.3316  0.6633  3 Ge 2.42-2.44

Properties
energy of formation	-18.93	kcal/mol of atoms
volume	21.93	Å³ per atom
polymorph energy (0 for the lowest one)	0	meV per atom
total magnetization	0.0	μB/cell
space group	Fmmm, No. 69



[2]
CsBaRe2As: relaxed, GGA-PBE.

abc: 4.7373 6.1880 4.7373
angles: 90.00 90.00 90.00
With the nearest neighbours (Å) after each atom.
Fractional coordinates of all 5 atoms:
As  0.0000  0.0000  0.0000  4 Re 2.37
Cs  0.0000  0.5000  0.0000  2 As 3.09, 4 Ba 3.35
Re  0.5000  0.0000  0.0000  2 As 2.37
Re  0.0000  0.0000  0.5000  2 As 2.37
Ba  0.5000  0.5000  0.5000  4 Cs 3.35

Properties
energy of formation	28.00	kcal/mol of atoms
volume	27.77	Å³ per atom
total magnetization	0.0	μB/cell
space group	P4/mmm, No. 123



[3]
NdY: relaxed, GGA-PBE.

abc: 3.6238 6.2602 6.2949
angles: 99.25 106.73 90.00
With the nearest neighbours (Å) after each atom.
Fractional coordinates of all 4 atoms:
Y  0.4994  0.4982  0.9988  7 Nd 3.62-3.64, 5 Y 3.62
Y  0.7506  0.2518  0.5012  7 Nd 3.62-3.64, 5 Y 3.62
Nd  0.0006  0.9988  0.0012  5 Nd 3.60-3.64, 7 Y 3.62-3.64
Nd  0.2494  0.7512  0.4988  5 Nd 3.60-3.64, 7 Y 3.62-3.64

Properties
energy of formation	0.35	kcal/mol of atoms
volume	33.71	Å³ per atom
polymorph energy (0 for the lowest one)	0	meV per atom
total magnetization	0.0	μB/cell
space group	C2/m, No. 12



[4]
Sr2Mg12ScCd3: relaxed, GGA-PBE.

abc: 7.8721 7.8721 7.8721
angles: 85.43 85.43 85.43
With the nearest neighbours (Å) after each atom.
Fractional coordinates of all 18 atoms:
Mg  0.8456  0.4266  0.4266  6 Mg 2.97-3.23
Mg  0.1961  0.7135  0.1961  1 Cd 2.97, 5 Mg 2.97-3.15, 1 Sc 3.02
Mg  0.8039  0.2865  0.8039  1 Cd 2.97, 5 Mg 2.97-3.15, 1 Sc 3.02
Mg  0.5734  0.5734  0.1544  6 Mg 2.97-3.23
Mg  0.2865  0.8039  0.8039  1 Cd 2.97, 5 Mg 2.97-3.15, 1 Sc 3.02
Mg  0.1544  0.5734  0.5734  6 Mg 2.97-3.23
Mg  0.4266  0.4266  0.8456  6 Mg 2.97-3.23
Mg  0.5734  0.1544  0.5734  6 Mg 2.97-3.23
Mg  0.7135  0.1961  0.1961  1 Cd 2.97, 5 Mg 2.97-3.15, 1 Sc 3.02
Mg  0.8039  0.8039  0.2865  1 Cd 2.97, 5 Mg 2.97-3.15, 1 Sc 3.02
Mg  0.1961  0.1961  0.7135  1 Cd 2.97, 5 Mg 2.97-3.15, 1 Sc 3.02
Mg  0.4266  0.8456  0.4266  6 Mg 2.97-3.23
Sr  0.7392  0.7392  0.7392  3 Cd 3.38, 9 Mg 3.56-3.62
Sr  0.2608  0.2608  0.2608  3 Cd 3.38, 9 Mg 3.56-3.62
Cd  0.5000  0.0000  0.0000  2 Mg 2.97
Cd  0.0000  0.0000  0.5000  2 Mg 2.97
Cd  0.0000  0.5000  0.0000  2 Mg 2.97
Sc  0.0000  0.0000  0.0000  6 Mg 3.02

Properties
energy of formation	1.96	kcal/mol of atoms
volume	26.86	Å³ per atom
total magnetization	0.0	μB/cell
space group	R-3m, No. 166



[5]
SrZn2GePd: relaxed, GGA-PBE.

abc: 4.4969 4.4113 6.0453
angles: 111.40 111.83 90.00
With the nearest neighbours (Å) after each atom.
Fractional coordinates of all 5 atoms:
Zn  0.6893  0.1893  0.3786  2 Ge 2.56, 2 Zn 2.58
Zn  0.0660  0.0660  0.1320  2 Zn 2.58, 1 Ge 2.59, 2 Pd 2.61
Sr  0.4405  0.4405  0.8811  4 Pd 3.31-3.50, 8 Zn 3.38-3.43, 4 Ge 3.40
Pd  0.2009  0.7009  0.4017  2 Ge 2.54, 2 Zn 2.61
Ge  0.8155  0.8155  0.6309  2 Pd 2.54, 3 Zn 2.56-2.59

Properties
energy of formation	-10.85	kcal/mol of atoms
volume	20.47	Å³ per atom
total magnetization	0.0	μB/cell
space group	Imm2, No. 44



[6]
CuSiRu2: relaxed, GGA-PBE.

abc: 3.6678 3.6678 9.0965
angles: 78.37 78.37 90.00
With the nearest neighbours (Å) after each atom.
Fractional coordinates of all 8 atoms:
Si  0.2500  0.7500  0.5000  4 Ru 2.57, 4 Cu 2.59
Si  0.5000  0.5000  0.0000  4 Ru 2.57, 4 Cu 2.59
Ru  0.3750  0.3484  0.7500  4 Ru 2.46-2.74, 2 Cu 2.50, 2 Si 2.57
Ru  0.8750  0.9016  0.7500  4 Ru 2.46-2.74, 2 Cu 2.50, 2 Si 2.57
Ru  0.6516  0.1250  0.2500  4 Ru 2.46-2.74, 2 Cu 2.50, 2 Si 2.57
Ru  0.0984  0.6250  0.2500  4 Ru 2.46-2.74, 2 Cu 2.50, 2 Si 2.57
Cu  0.0000  0.0000  0.0000  4 Ru 2.50, 4 Si 2.59
Cu  0.7500  0.2500  0.5000  4 Ru 2.50, 4 Si 2.59

Properties
volume	14.66	Å³ per atom
formation energy from raw total energies	0.44	eV per atom
total magnetization	0.0	μB/cell
space group	I-42d, No. 122



[7]
Na4LiTi3Se8: relaxed, GGA-PBE.

abc: 7.5731 8.2068 7.5737
angles: 117.49 120.00 90.00
With the nearest neighbours (Å) after each atom.
Fractional coordinates of all 16 atoms:
Ti  0.5000  0.5000  0.5000  6 Se 2.60-2.64
Ti  0.5000  0.5000  0.0000  6 Se 2.60-2.64
Ti  0.0000  0.5000  0.5000  6 Se 2.60-2.64
Li  0.0000  0.5000  0.0000  6 Se 2.68
Se  0.7375  0.7125  0.4751  3 Ti 2.64
Se  0.7266  0.7089  0.9678  2 Ti 2.60, 1 Li 2.68
Se  0.2625  0.2875  0.5249  3 Ti 2.64
Se  0.2412  0.7089  0.4825  2 Ti 2.60, 1 Li 2.68
Se  0.7588  0.2911  0.0322  2 Ti 2.60, 1 Li 2.68
Se  0.2734  0.2911  0.0322  2 Ti 2.60, 1 Li 2.68
Se  0.7588  0.2911  0.5175  2 Ti 2.60, 1 Li 2.68
Se  0.2412  0.7089  0.9678  2 Ti 2.60, 1 Li 2.68
Na  0.0000  0.0000  0.5000  6 Se 2.96-3.00
Na  0.5000  0.0000  0.0000  6 Se 2.93
Na  0.0000  0.0000  0.0000  6 Se 2.96-3.00
Na  0.5000  0.0000  0.5000  6 Se 2.96-3.00

Properties
volume	21.56	Å³ per atom
formation energy from raw total energies	-1.14	eV per atom
total magnetization	0.6	μB/cell
space group	R-3m, No. 166



> What is the total magnetization in the fifth record?

0.0 μB/cell